1.
{"formula": "SrTePd", "functional": "PBE-GGA", "state": "optimized geometry", "formation_energy_uncorrected_ev_per_atom": -0.819, "dos_ef_per_ev_fu": 0.7, "space_group": "No. 63", "lattice": [[2.1076, -5.1268, 0.0000], [2.1076, 5.1268, 0.0000], [0.0000, 0.0000, 7.5963]], "species": ["Sr", "Sr", "Te", "Te", "Pd", "Pd"], "fractional_positions": [[0.2110, 0.7890, 0.7500], [0.7890, 0.2110, 0.2500], [0.5000, 0.5000, 0.0000], [0.5000, 0.5000, 0.5000], [0.0731, 0.9269, 0.2500], [0.9269, 0.0731, 0.7500]]}

=====

2.
{"formula": "SrTePd", "functional": "PBE-GGA", "state": "optimized geometry", "formation_energy_uncorrected_ev_per_atom": -1.091, "dos_ef_per_ev_fu": 0.0, "space_group": "No. 1", "lattice": [[4.6861, 0.0000, 0.0000], [-2.3426, 4.0593, 0.0000], [-0.0078, -2.6597, 8.8901]], "species": ["Sr", "Sr", "Te", "Te", "Pd", "Pd"], "fractional_positions": [[0.0000, 0.0000, 0.0000], [0.1594, 0.3168, 0.4842], [0.5728, 0.1430, 0.7270], [0.7461, 0.4914, 0.2410], [0.4062, 0.8117, 0.2212], [0.8869, 0.7711, 0.6695]]}

=====

3.
{"formula": "Sr2TePd", "functional": "PBE-GGA", "state": "optimized geometry", "formation_energy_uncorrected_ev_per_atom": -0.814, "dos_ef_per_ev_fu": 0.0, "space_group": "No. 122", "lattice": [[-4.0924, 4.0924, 4.4436], [4.0924, -4.0924, 4.4436], [4.0924, 4.0924, -4.4436]], "species": ["Sr", "Sr", "Sr", "Sr", "Te", "Te", "Pd", "Pd"], "fractional_positions": [[0.0995, 0.6250, 0.9745], [0.3750, 0.3495, 0.4745], [0.6505, 0.1250, 0.0255], [0.8750, 0.9005, 0.5255], [0.2500, 0.7500, 0.5000], [0.5000, 0.5000, 0.0000], [0.0000, 0.0000, 0.0000], [0.7500, 0.2500, 0.5000]]}

=====

4.
{"formula": "SrTePd3", "functional": "PBE-GGA", "state": "optimized geometry", "formation_energy_uncorrected_ev_per_atom": -0.599, "dos_ef_per_ev_fu": 4.7, "relative_energy_ev_per_fu": 0.00, "space_group": "No. 107", "lattice": [[-2.2177, 2.2177, 5.6393], [2.2177, -2.2177, 5.6393], [2.2177, 2.2177, -5.6393]], "species": ["Sr", "Te", "Pd", "Pd", "Pd"], "fractional_positions": [[0.0000, 0.0000, 0.0000], [0.3610, 0.3610, 0.0000], [0.2349, 0.7349, 0.5000], [0.5890, 0.5890, 0.0000], [0.7349, 0.2349, 0.5000]]}